DFT (GGA-PBE) results for a geometry-optimized TbFeNi3 structure.

Unit cell a=7.4030 b=7.4030 c=4.3666 alpha=90.00 beta=90.00 gamma=133.93
Element x y z (fractional)
Tb 0.1056 0.8944 0.7500
Tb 0.8944 0.1056 0.2500
Fe 0.3414 0.6586 0.7500
Fe 0.6586 0.3414 0.2500
Ni 0.0762 0.5490 0.2500
Ni 0.4510 0.9238 0.2500
Ni 0.5000 0.5000 0.0000
Ni 0.5000 0.5000 0.5000
Ni 0.5490 0.0762 0.7500
Ni 0.9238 0.4510 0.7500

Results
* V: 172 Å³ per cell
* formation energy: 0.245 eV/atom
* total moment: 0.806 μB/atom